{"formula": "ScFe", "functional": "GGA-PBE", "state": "optimized geometry", "formation_enthalpy_0k_ev_per_atom": -0.032, "cell": [[1.9307, 1.1147, 5.6216], [-1.9307, 1.1147, 5.6216], [0.0000, -2.2294, 5.6216]], "species": ["Sc", "Sc", "Fe", "Fe"], "frac_coords": [[0.0956, 0.0956, 0.0956], [0.9044, 0.9044, 0.9044], [0.3239, 0.3239, 0.3239], [0.6761, 0.6761, 0.6761]]}

***

{"formula": "Ac2PmTl", "functional": "GGA-PBE", "state": "optimized geometry", "formation_enthalpy_0k_ev_per_atom": -0.061, "cell": [[1.9771, 1.1415, 11.5161], [-1.9771, 1.1415, 11.5161], [0.0000, -2.2830, 11.5161]], "species": ["Ac", "Ac", "Pm", "Tl"], "frac_coords": [[0.0000, 0.0000, 0.0000], [0.1768, 0.1768, 0.1768], [0.4217, 0.4217, 0.4217], [0.5884, 0.5884, 0.5884]]}

***

{"formula": "InS2N", "functional": "GGA-PBE", "state": "optimized geometry", "energy_ev_per_cell": -13.917, "cell": [[0.0000, 3.2296, 3.2296], [3.2296, 0.0000, 3.2296], [3.2296, 3.2296, 0.0000]], "species": ["In", "S", "S", "N"], "frac_coords": [[0.0000, 0.0000, 0.0000], [0.2500, 0.2500, 0.2500], [0.7500, 0.7500, 0.7500], [0.5000, 0.5000, 0.5000]]}

***

{"formula": "SiHg4", "functional": "GGA-PBE", "state": "optimized geometry", "energy_ev_per_cell": -5.685, "cell": [[5.2219, 0.0000, 0.0000], [0.0000, 5.2219, 0.0000], [0.0000, 0.0000, 5.2219]], "species": ["Si", "Hg", "Hg", "Hg", "Hg"], "frac_coords": [[0.0000, 0.0000, 0.0000], [0.0000, 0.0000, 0.5000], [0.0000, 0.5000, 0.0000], [0.5000, 0.0000, 0.0000], [0.5000, 0.5000, 0.5000]]}

***

{"formula": "SrCuO2", "functional": "GGA-PBE", "state": "optimized geometry", "energy_ev_per_cell": -21.065, "cell": [[3.7935, 0.0000, 0.0000], [0.0000, 5.2516, 0.0000], [-0.0086, 0.0000, 6.4612]], "species": ["Sr", "Cu", "O", "O"], "frac_coords": [[0.0000, 0.0000, 0.0000], [0.5000, 0.0000, 0.5000], [0.5005, 0.0000, 0.2304], [0.4995, 0.0000, 0.7696]]}

***

{"formula": "ReC4", "functional": "GGA-PBE", "state": "optimized geometry", "formation_enthalpy_0k_ev_per_atom": 0.662, "cell": [[2.7474, 0.0000, 0.0000], [-1.3737, 2.3793, 0.0000], [0.0000, 0.0000, 6.2538]], "species": ["Re", "C", "C", "C", "C"], "frac_coords": [[0.0000, 0.0000, 0.0000], [0.3333, 0.6667, 0.2221], [0.3333, 0.6667, 0.4572], [0.6667, 0.3333, 0.5428], [0.6667, 0.3333, 0.7779]]}

***

{"formula": "Pr2CdPb2", "functional": "GGA-PBE", "state": "optimized geometry", "formation_enthalpy_0k_ev_per_atom": -0.459, "cell": [[6.0973, -2.3873, 0.0000], [6.0973, 2.3873, 0.0000], [-4.8548, 0.0000, 10.3959]], "species": ["Pr", "Pr", "Pr", "Pr", "Cd", "Cd", "Pb", "Pb", "Pb", "Pb"], "frac_coords": [[0.0020, 0.0020, 0.1743], [0.1790, 0.1790, 0.6048], [0.8210, 0.8210, 0.3952], [0.9980, 0.9980, 0.8257], [0.2981, 0.2981, 0.1758], [0.7019, 0.7019, 0.8242], [0.3517, 0.3517, 0.9343], [0.4506, 0.4506, 0.6078], [0.5494, 0.5494, 0.3922], [0.6483, 0.6483, 0.0657]]}

***

{"formula": "LiAc2Au9", "functional": "GGA-PBE", "state": "optimized geometry", "formation_enthalpy_0k_ev_per_atom": -0.403, "cell": [[2.8948, 1.6713, 9.3417], [-2.8948, 1.6713, 9.3417], [0.0000, -3.3426, 9.3417]], "species": ["Li", "Ac", "Ac", "Au", "Au", "Au", "Au", "Au", "Au", "Au", "Au", "Au"], "frac_coords": [[0.0000, 0.0000, 0.0000], [0.1365, 0.1365, 0.1365], [0.8635, 0.8635, 0.8635], [0.0789, 0.5843, 0.5843], [0.3333, 0.3333, 0.3333], [0.4157, 0.4157, 0.9211], [0.4157, 0.9211, 0.4157], [0.5000, 0.5000, 0.5000], [0.5843, 0.0789, 0.5843], [0.5843, 0.5843, 0.0789], [0.6667, 0.6667, 0.6667], [0.9211, 0.4157, 0.4157]]}

***

{"formula": "Mn2TlAgTe4", "functional": "GGA-PBE", "state": "optimized geometry", "energy_ev_per_cell": -73.934, "cell": [[1.9566, -8.1339, 0.0000], [1.9566, 8.1339, 0.0000], [0.0000, 0.0000, 15.3096]], "species": ["Mn", "Mn", "Mn", "Mn", "Tl", "Tl", "Ag", "Ag", "Te", "Te", "Te", "Te", "Te", "Te", "Te", "Te"], "frac_coords": [[0.0832, 0.9168, 0.5974], [0.0832, 0.9168, 0.9026], [0.9168, 0.0832, 0.0974], [0.9168, 0.0832, 0.4026], [0.3053, 0.6947, 0.7500], [0.6947, 0.3053, 0.2500], [0.3843, 0.6157, 0.2500], [0.6157, 0.3843, 0.7500], [0.0096, 0.9904, 0.2500], [0.2982, 0.7018, 0.0940], [0.2982, 0.7018, 0.4060], [0.5000, 0.5000, 0.0000], [0.5000, 0.5000, 0.5000], [0.7018, 0.2982, 0.5940], [0.7018, 0.2982, 0.9060], [0.9904, 0.0096, 0.7500]]}

***

{"formula": "Y7Tl2Ir2", "functional": "GGA-PBE", "state": "optimized geometry", "formation_enthalpy_0k_ev_per_atom": -0.424, "cell": [[4.1306, -5.4951, 0.0000], [4.1306, 5.4951, 0.0000], [0.0000, 0.0000, 7.1165]], "species": ["Y", "Y", "Y", "Y", "Y", "Y", "Y", "Tl", "Tl", "Ir", "Ir"], "frac_coords": [[0.0000, 0.0000, 0.0000], [0.0000, 0.5000, 0.2468], [0.0000, 0.5000, 0.7532], [0.5000, 0.0000, 0.2468], [0.5000, 0.0000, 0.7532], [0.5000, 0.5000, 0.2393], [0.5000, 0.5000, 0.7607], [0.1820, 0.1820, 0.5000], [0.8180, 0.8180, 0.5000], [0.2869, 0.7131, 0.0000], [0.7131, 0.2869, 0.0000]]}

***

{"formula": "Ni3Br", "functional": "GGA-PBE", "state": "optimized geometry", "energy_ev_per_cell": -16.585, "cell": [[2.5928, -3.3196, 0.0000], [2.5928, 3.3196, 0.0000], [0.0000, 0.0000, 3.0681]], "species": ["Ni", "Ni", "Ni", "Br"], "frac_coords": [[0.0000, 0.0000, 0.0000], [0.0000, 0.5000, 0.5000], [0.5000, 0.0000, 0.5000], [0.5000, 0.5000, 0.0000]]}

***

{"formula": "RbBC2", "functional": "GGA-PBE", "state": "optimized geometry", "formation_enthalpy_0k_ev_per_atom": 1.279, "cell": [[-2.6516, 2.6516, 3.7861], [2.6516, -2.6516, 3.7861], [2.6516, 2.6516, -3.7861]], "species": ["Rb", "Rb", "B", "B", "C", "C", "C", "C"], "frac_coords": [[0.3750, 0.6250, 0.7500], [0.6250, 0.3750, 0.2500], [0.1250, 0.8750, 0.2500], [0.8750, 0.1250, 0.7500], [0.0000, 0.0000, 0.0000], [0.0000, 0.0000, 0.5000], [0.0000, 0.5000, 0.0000], [0.5000, 0.0000, 0.5000]]}